DFT (PBE) results for crystalline TaCd2Cu at its relaxed geometry.

The energy above the lowest structure with this stoichiometry is 4.92 kcal/mol of atoms. The density of states at the Fermi level comes out at 2.5 states/eV/cell. Its space-group type is P2/m.

a b c (Å): 2.838 4.514 5.750
angles (deg): 90.00 102.27 90.00
Fractional positions:
Ta  0.000  0.000  0.000
Cd  0.345  0.500  0.739
Cd  0.655  0.500  0.261
Cu  0.500  0.000  0.500

DFT (PBE) results for crystalline TaCd2Cu at its relaxed geometry.

The energy above the lowest structure with this stoichiometry is 13.40 kcal/mol of atoms. The density of states at the Fermi level comes out at 4.8 states/eV/cell. Its space-group type is I-42d.

a b c (Å): 5.967 5.967 5.967
angles (deg): 102.51 102.51 124.52
Fractional positions:
Ta  0.000  0.000  0.000
Ta  0.750  0.250  0.500
Cd  0.156  0.625  0.031
Cd  0.375  0.406  0.531
Cd  0.594  0.125  0.969
Cd  0.875  0.844  0.469
Cu  0.250  0.750  0.500
Cu  0.500  0.500  0.000

The lowest energy above the lowest structure with this stoichiometry belongs to which entry? number 1

Look up the energy above the lowest structure with this stoichiometry of the second one. 13.40 kcal/mol of atoms

Please write out number 1 again, unchanged.
DFT (PBE) results for crystalline TaCd2Cu at its relaxed geometry.

The energy above the lowest structure with this stoichiometry is 4.92 kcal/mol of atoms. The density of states at the Fermi level comes out at 2.5 states/eV/cell. Its space-group type is P2/m.

a b c (Å): 2.838 4.514 5.750
angles (deg): 90.00 102.27 90.00
Fractional positions:
Ta  0.000  0.000  0.000
Cd  0.345  0.500  0.739
Cd  0.655  0.500  0.261
Cu  0.500  0.000  0.500